No. 1
## Ce2Si3Pd (PBE-GGA)

Data for an optimized crystal structure of Ce2Si3Pd.

Calculated values
For the uncorrected formation energy, the calculation gives -0.841 eV/atom. Its magnetization is 2.452 μB/cell. The value obtained for the raw total energy is -6.40 eV per atom. Its density of states at the Fermi level is 10.17 states/eV/f.u.

Unit cell a=5.8640 b=5.8640 c=8.2560 alpha=110.99 beta=110.99 gamma=89.51
Positions (direct):
1 Si 0.1643 0.1643 0.3286
2 Si 0.8349 0.3297 0.1646
3 Si 0.1651 0.6703 0.8354
4 Si 0.6703 0.1651 0.8354
5 Si 0.8357 0.8357 0.6714
6 Si 0.3297 0.8349 0.1646
7 Pd 0.3331 0.3331 0.6662
8 Pd 0.6669 0.6669 0.3338
9 Ce 0.2468 0.2468 0.0000
10 Ce 0.7500 0.2500 0.5000
11 Ce 0.7532 0.7532 0.0000
12 Ce 0.2500 0.7500 0.5000

No. 2
## Ce3Si2Pd6 (PBE-GGA)

Data for an optimized crystal structure of Ce3Si2Pd6.

Calculated values
For the uncorrected formation energy, the calculation gives -0.761 eV/atom. Its magnetization is 5.733 μB/cell. The value obtained for the raw total energy is -6.20 eV per atom. Its density of states at the Fermi level is 17.03 states/eV/f.u.

Unit cell a=8.1672 b=8.1672 c=8.1672 alpha=109.47 beta=109.47 gamma=109.47
Positions (direct):
1 Pd 0.6718 0.3436 0.6718
2 Pd 0.3282 0.0000 0.6718
3 Pd 0.3282 0.6718 0.0000
4 Pd 0.3282 0.3282 0.6564
5 Pd 0.0000 0.6718 0.3282
6 Pd 0.6718 0.3282 0.0000
7 Pd 0.6718 0.6718 0.3436
8 Pd 0.0000 0.3282 0.6718
9 Pd 0.3436 0.6718 0.6718
10 Pd 0.3282 0.6564 0.3282
11 Pd 0.6718 0.0000 0.3282
12 Pd 0.6564 0.3282 0.3282
13 Ce 0.7187 0.7187 0.0000
14 Ce 0.2813 0.0000 0.2813
15 Ce 0.2813 0.2813 0.0000
16 Ce 0.7187 0.0000 0.7187
17 Ce 0.0000 0.7187 0.7187
18 Ce 0.0000 0.2813 0.2813
19 Si 0.5000 0.0000 0.0000
20 Si 0.0000 0.5000 0.0000
21 Si 0.0000 0.0000 0.5000
22 Si 0.5000 0.5000 0.5000